## w
Computed, not measured: a relaxed Zr2MnBr crystal at the PBE level of DFT.

Summary:
Crystal system   tetragonal

CIF file:
```
data_Zr2MnBr
_cell_length_a 3.1681
_cell_length_b 3.1681
_cell_length_c 7.8533
_cell_angle_alpha 90.00
_cell_angle_beta 90.00
_cell_angle_gamma 90.00
_space_group_name_H-M_alt 'P 4/m m m'
_space_group_IT_number 123
_space_group_name_Hall '-P 4 2'
loop_
_atom_site_label
_atom_site_fract_x
_atom_site_fract_y
_atom_site_fract_z
Zr1 0.0000 0.0000 0.1999
Mn1 0.5000 0.5000 0.0000
Br1 0.5000 0.5000 0.5000
```

---

## x
Computed, not measured: a relaxed Zr2MnBr crystal at the PBE level of DFT.

Summary:
Crystal system   cubic

CIF file:
```
data_Zr2MnBr
_cell_length_a 6.7524
_cell_length_b 6.7524
_cell_length_c 6.7524
_cell_angle_alpha 90.00
_cell_angle_beta 90.00
_cell_angle_gamma 90.00
_space_group_name_H-M_alt 'F m -3 m'
_space_group_IT_number 225
_space_group_name_Hall '-F 4 2 3'
loop_
_atom_site_label
_atom_site_fract_x
_atom_site_fract_y
_atom_site_fract_z
Zr1 0.2500 0.2500 0.2500
Mn1 0.0000 0.0000 0.0000
Br1 0.0000 0.0000 0.5000
```

---

Which is most stable, and by how much? w, by 487 meV/atom.

---

## w
Computed, not measured: a relaxed ZrMnBr6 crystal at the PBE level of DFT.

Summary:
Crystal system   monoclinic

CIF file:
```
data_ZrMnBr6
_cell_length_a 6.6173
_cell_length_b 13.5048
_cell_length_c 6.6130
_cell_angle_alpha 90.00
_cell_angle_beta 109.36
_cell_angle_gamma 90.00
_space_group_name_H-M_alt 'C 1 2/m 1'
_space_group_IT_number 12
_space_group_name_Hall '-C 2y'
loop_
_atom_site_label
_atom_site_fract_x
_atom_site_fract_y
_atom_site_fract_z
Zr1 0.0000 0.0000 0.0000
Mn1 0.0000 0.5000 0.5000
Br1 0.2429 0.0000 0.7576
Br2 0.2495 0.3620 0.7491
```

---

## x
Computed, not measured: a relaxed ZrMnBr6 crystal at the PBE level of DFT.

Summary:
Crystal system   trigonal

CIF file:
```
data_ZrMnBr6
_cell_length_a 6.7797
_cell_length_b 6.7797
_cell_length_c 18.2497
_cell_angle_alpha 90.00
_cell_angle_beta 90.00
_cell_angle_gamma 120.00
_space_group_name_H-M_alt 'R -3'
_space_group_IT_number 148
_space_group_name_Hall '-R 3'
loop_
_atom_site_label
_atom_site_fract_x
_atom_site_fract_y
_atom_site_fract_z
Zr1 0.0000 0.0000 0.0000
Mn1 0.0000 0.0000 0.5000
Br1 0.0037 0.6507 0.7497
```

---

Which is most stable, and by how much? w, by 21 meV/atom.

---

## w
Computed, not measured: a relaxed MoBr2 crystal at the PBE level of DFT.

Summary:
Crystal system   orthorhombic

CIF file:
```
data_MoBr2
_cell_length_a 15.2872
_cell_length_b 7.7649
_cell_length_c 3.2411
_cell_angle_alpha 90.00
_cell_angle_beta 90.00
_cell_angle_gamma 90.00
_space_group_name_H-M_alt 'C m c m'
_space_group_IT_number 63
_space_group_name_Hall '-C 2c 2'
loop_
_atom_site_label
_atom_site_fract_x
_atom_site_fract_y
_atom_site_fract_z
Mo1 0.0000 0.1227 0.2500
Br1 0.1241 0.2371 0.7500
```

---

## x
Computed, not measured: a relaxed MoBr2 crystal at the PBE level of DFT.

Summary:
Crystal system   monoclinic

CIF file:
```
data_MoBr2
_cell_length_a 13.8528
_cell_length_b 3.4585
_cell_length_c 8.1229
_cell_angle_alpha 90.00
_cell_angle_beta 109.11
_cell_angle_gamma 90.00
_space_group_name_H-M_alt 'C 1 m 1'
_space_group_IT_number 8
_space_group_name_Hall 'C -2y'
loop_
_atom_site_label
_atom_site_fract_x
_atom_site_fract_y
_atom_site_fract_z
Mo1 0.0000 0.0000 0.0000
Mo2 0.1324 0.5000 0.0410
Br1 0.0001 0.5000 0.2400
Br2 0.2300 0.0000 0.8861
Br3 0.2703 0.5000 0.3218
Br4 0.4702 0.0000 0.7409
```

---

Which is most stable, and by how much? x, by 74 meV/atom.

---

## w
Computed, not measured: a relaxed Mo4Br crystal at the PBE level of DFT.

Summary:
Crystal system   cubic

CIF file:
```
data_Mo4Br
_cell_length_a 4.5454
_cell_length_b 4.5454
_cell_length_c 4.5454
_cell_angle_alpha 90.00
_cell_angle_beta 90.00
_cell_angle_gamma 90.00
_space_group_name_H-M_alt 'P m -3 m'
_space_group_IT_number 221
_space_group_name_Hall '-P 4 2 3'
loop_
_atom_site_label
_atom_site_fract_x
_atom_site_fract_y
_atom_site_fract_z
Mo1 0.0000 0.0000 0.0000
Mo2 0.0000 0.5000 0.5000
Br1 0.5000 0.5000 0.5000
```

---

## x
Computed, not measured: a relaxed Mo4Br crystal at the PBE level of DFT.

Summary:
Crystal system   tetragonal

CIF file:
```
data_Mo4Br
_cell_length_a 3.9893
_cell_length_b 3.9893
_cell_length_c 13.5673
_cell_angle_alpha 90.00
_cell_angle_beta 90.00
_cell_angle_gamma 90.00
_space_group_name_H-M_alt 'I 4/m m m'
_space_group_IT_number 139
_space_group_name_Hall '-I 4 2'
loop_
_atom_site_label
_atom_site_fract_x
_atom_site_fract_y
_atom_site_fract_z
Mo1 0.0000 0.0000 0.1330
Mo2 0.0000 0.5000 0.2500
Br1 0.0000 0.0000 0.5000
```

---

Which is most stable, and by how much? x, by 967 meV/atom.

---

## w
Computed, not measured: a relaxed MoBr3N crystal at the PBE level of DFT.

Summary:
Crystal system   cubic

CIF file:
```
data_MoBr3N
_cell_length_a 5.0193
_cell_length_b 5.0193
_cell_length_c 5.0193
_cell_angle_alpha 90.00
_cell_angle_beta 90.00
_cell_angle_gamma 90.00
_space_group_name_H-M_alt 'P m -3 m'
_space_group_IT_number 221
_space_group_name_Hall '-P 4 2 3'
loop_
_atom_site_label
_atom_site_fract_x
_atom_site_fract_y
_atom_site_fract_z
Mo1 0.0000 0.0000 0.0000
Br1 0.0000 0.0000 0.5000
N1 0.5000 0.5000 0.5000
```

---

## x
Computed, not measured: a relaxed MoBr3N crystal at the PBE level of DFT.

Summary:
Crystal system   monoclinic

CIF file:
```
data_MoBr3N
_cell_length_a 7.4201
_cell_length_b 13.5813
_cell_length_c 12.4136
_cell_angle_alpha 90.00
_cell_angle_beta 95.00
_cell_angle_gamma 90.00
_space_group_name_H-M_alt 'C 1 2/c 1'
_space_group_IT_number 15
_space_group_name_Hall '-C 2yc'
loop_
_atom_site_label
_atom_site_fract_x
_atom_site_fract_y
_atom_site_fract_z
Mo1 0.0678 0.0459 0.1554
Br1 0.1445 0.0958 0.5145
Br2 0.1722 0.3625 0.8994
Br3 0.2205 0.0666 0.7982
N1 0.0760 0.1556 0.2803
```

---

## y
Computed, not measured: a relaxed MoBr3N crystal at the PBE level of DFT.

Summary:
Crystal system   cubic

CIF file:
```
data_MoBr3N
_cell_length_a 4.7345
_cell_length_b 4.7345
_cell_length_c 4.7345
_cell_angle_alpha 90.00
_cell_angle_beta 90.00
_cell_angle_gamma 90.00
_space_group_name_H-M_alt 'P m -3 m'
_space_group_IT_number 221
_space_group_name_Hall '-P 4 2 3'
loop_
_atom_site_label
_atom_site_fract_x
_atom_site_fract_y
_atom_site_fract_z
Mo1 0.0000 0.0000 0.0000
Br1 0.0000 0.5000 0.5000
N1 0.5000 0.5000 0.5000
```

---

Which is most stable, and by how much? x, by 1714 meV/atom.

---

## w
Computed, not measured: a relaxed MoSBrN2 crystal at the PBE level of DFT.

Summary:
Crystal system   tetragonal

CIF file:
```
data_MoSBrN2
_cell_length_a 3.8974
_cell_length_b 3.8974
_cell_length_c 5.2869
_cell_angle_alpha 90.00
_cell_angle_beta 90.00
_cell_angle_gamma 90.00
_space_group_name_H-M_alt 'P 4/m m m'
_space_group_IT_number 123
_space_group_name_Hall '-P 4 2'
loop_
_atom_site_label
_atom_site_fract_x
_atom_site_fract_y
_atom_site_fract_z
Mo1 0.0000 0.0000 0.0000
S1 0.0000 0.0000 0.5000
Br1 0.5000 0.5000 0.5000
N1 0.0000 0.5000 0.0000
```

---

## x
Computed, not measured: a relaxed MoSBrN2 crystal at the PBE level of DFT.

Summary:
Crystal system   tetragonal

CIF file:
```
data_MoSBrN2
_cell_length_a 3.8809
_cell_length_b 3.8809
_cell_length_c 4.8461
_cell_angle_alpha 90.00
_cell_angle_beta 90.00
_cell_angle_gamma 90.00
_space_group_name_H-M_alt 'P 4/m m m'
_space_group_IT_number 123
_space_group_name_Hall '-P 4 2'
loop_
_atom_site_label
_atom_site_fract_x
_atom_site_fract_y
_atom_site_fract_z
Mo1 0.0000 0.0000 0.0000
S1 0.5000 0.5000 0.0000
Br1 0.5000 0.5000 0.5000
N1 0.0000 0.5000 0.5000
```

---

Which is most stable, and by how much? w, by 1672 meV/atom.